Density functional theory data (PBE) for crystalline Te2AsPdI at its relaxed geometry.

Cell and atoms, written as POSCAR:
```
Te2AsPdI
1.0
5.4779 0.0000 0.0000
0.0000 5.4779 0.0000
0.0000 0.0000 5.5049
I As Te Pd
1 1 2 1
Cartesian
0.0000 0.0000 2.7525
0.0000 0.0000 0.0000
0.0000 2.7389 0.0000
2.7389 0.0000 0.0000
2.7389 2.7389 2.7525
```

## Properties
formation energy from raw total energies: 0.76 eV/atom
Fermi-level density of states: 9.75 states/eV/f.u.
space group: P4/mmm
total energy: -2.7729 eV per atom